(1)
# PmNd2Sm6

PmNd2Sm6 after structural relaxation (PBE, Alexandria via LeMat-Bulk).

Properties
polymorph energy (0 for the lowest one) = 1.44 eV/f.u.
D(E_F) = 1.593 states/eV/atom

Cell and atoms, written as CIF:
```
data_PmNd2Sm6
_cell_length_a 7.6711
_cell_length_b 7.6711
_cell_length_c 6.1455
_cell_angle_alpha 90.00
_cell_angle_beta 90.00
_cell_angle_gamma 120.00
_symmetry_space_group_name_H-M 'P -3 m 1'
_symmetry_Int_Tables_number 164
_symmetry_space_group_name_Hall '-P 3 2"'
loop_
_atom_site_label
_atom_site_fract_x
_atom_site_fract_y
_atom_site_fract_z
Pm1 0.0000 0.0000 0.0000
Nd1 0.3333 0.6667 0.7837
Sm1 0.1877 0.3754 0.2890
```

---

(2)
# Pm12NdSm5

Pm12NdSm5 after structural relaxation (PBE, Alexandria via LeMat-Bulk).

Properties
D(E_F) = 1.824 states/eV/atom
raw total energy = -166.98 eV for the cell shown

Cell and atoms, written as CIF:
```
data_Pm12NdSm5
_cell_length_a 11.496
_cell_length_b 17.771
_cell_length_c 6.067
_cell_angle_alpha 90.00
_cell_angle_beta 90.01
_cell_angle_gamma 90.00
_symmetry_space_group_name_H-M 'C 1 2/m 1'
_symmetry_Int_Tables_number 12
_symmetry_space_group_name_Hall '-C 2y'
loop_
_atom_site_label
_atom_site_fract_x
_atom_site_fract_y
_atom_site_fract_z
Pm1 0.175 0.000 0.048
Pm2 0.176 0.167 0.450
Pm3 0.176 0.333 0.050
Pm4 0.176 0.500 0.452
Nd1 0.000 0.500 0.000
Sm1 0.000 0.000 0.500
Sm2 0.000 0.167 0.000
Sm3 0.000 0.333 0.500
```

---

(3)
# Pm2Nd3Sm4

Pm2Nd3Sm4 after structural relaxation (PBE, Alexandria via LeMat-Bulk).

Properties
polymorph energy (0 for the lowest one) = 0.30 eV/f.u.
D(E_F) = 1.641 states/eV/atom

Cell and atoms, written as CIF:
```
data_Pm2Nd3Sm4
_cell_length_a 11.649
_cell_length_b 5.875
_cell_length_c 9.291
_cell_angle_alpha 90.00
_cell_angle_beta 102.22
_cell_angle_gamma 90.00
_symmetry_space_group_name_H-M 'C 1 2/m 1'
_symmetry_Int_Tables_number 12
_symmetry_space_group_name_Hall '-C 2y'
loop_
_atom_site_label
_atom_site_fract_x
_atom_site_fract_y
_atom_site_fract_z
Pm1 0.065 0.000 0.301
Nd1 0.000 0.500 0.000
Nd2 0.117 0.500 0.687
Sm1 0.179 0.000 0.960
Sm2 0.228 0.500 0.369
```

---

(4)
# Pm4Nd3Sm3

Pm4Nd3Sm3 after structural relaxation (PBE, Alexandria via LeMat-Bulk).

Properties
D(E_F) = 1.141 states/eV/atom
raw total energy = -92.85 eV for the cell shown

Cell and atoms, written as CIF:
```
data_Pm4Nd3Sm3
_cell_length_a 3.808
_cell_length_b 13.566
_cell_length_c 13.597
_cell_angle_alpha 90.00
_cell_angle_beta 90.00
_cell_angle_gamma 90.00
_symmetry_space_group_name_H-M 'A m m 2'
_symmetry_Int_Tables_number 38
_symmetry_space_group_name_Hall 'A 2 -2'
loop_
_atom_site_label
_atom_site_fract_x
_atom_site_fract_y
_atom_site_fract_z
Pm1 0.000 0.000 0.000
Pm2 0.000 0.000 0.257
Pm3 0.000 0.128 0.630
Nd1 0.500 0.000 0.457
Nd2 0.500 0.172 0.128
Sm1 0.000 0.249 0.878
Sm2 0.500 0.000 0.800
```

---

(5)
# PmNd6Sm8

PmNd6Sm8 after structural relaxation (PBE, Alexandria via LeMat-Bulk).

Properties
polymorph energy (0 for the lowest one) = 0.33 eV/f.u.
D(E_F) = 1.499 states/eV/atom

Cell and atoms, written as CIF:
```
data_PmNd6Sm8
_cell_length_a 9.5967
_cell_length_b 9.5967
_cell_length_c 6.6215
_cell_angle_alpha 90.00
_cell_angle_beta 90.00
_cell_angle_gamma 120.00
_symmetry_space_group_name_H-M 'P -3'
_symmetry_Int_Tables_number 147
_symmetry_space_group_name_Hall '-P 3'
loop_
_atom_site_label
_atom_site_fract_x
_atom_site_fract_y
_atom_site_fract_z
Pm1 0.0000 0.0000 0.0000
Nd1 0.0860 0.4374 0.8334
Sm1 0.0299 0.2795 0.3333
Sm2 0.3333 0.6667 0.3811
```

---

(6)
# Pm2NdSm7

Pm2NdSm7 after structural relaxation (PBE, Alexandria via LeMat-Bulk).

Properties
polymorph energy (0 for the lowest one) = 0.00 eV/f.u.
D(E_F) = 1.593 states/eV/atom

Cell and atoms, written as CIF:
```
data_Pm2NdSm7
_cell_length_a 12.029
_cell_length_b 16.941
_cell_length_c 3.536
_cell_angle_alpha 90.00
_cell_angle_beta 90.00
_cell_angle_gamma 90.00
_symmetry_space_group_name_H-M 'C m m m'
_symmetry_Int_Tables_number 65
_symmetry_space_group_name_Hall '-C 2 2'
loop_
_atom_site_label
_atom_site_fract_x
_atom_site_fract_y
_atom_site_fract_z
Pm1 0.000 0.172 0.000
Nd1 0.000 0.000 0.500
Sm1 0.000 0.326 0.500
Sm2 0.000 0.500 0.000
Sm3 0.243 0.371 0.000
```

---

(7)
# Pm8Nd3Sm2

Pm8Nd3Sm2 after structural relaxation (PBE, Alexandria via LeMat-Bulk).

Properties
polymorph energy (0 for the lowest one) = 0.81 eV/f.u.
D(E_F) = 1.258 states/eV/atom

Cell and atoms, written as CIF:
```
data_Pm8Nd3Sm2
_cell_length_a 14.863
_cell_length_b 9.334
_cell_length_c 7.143
_cell_angle_alpha 90.00
_cell_angle_beta 109.08
_cell_angle_gamma 90.00
_symmetry_space_group_name_H-M 'C 1 2/m 1'
_symmetry_Int_Tables_number 12
_symmetry_space_group_name_Hall '-C 2y'
loop_
_atom_site_label
_atom_site_fract_x
_atom_site_fract_y
_atom_site_fract_z
Pm1 0.084 0.000 0.229
Pm2 0.123 0.183 0.678
Pm3 0.191 0.500 0.391
Nd1 0.000 0.325 0.000
Nd2 0.000 0.500 0.500
Sm1 0.216 0.500 0.920
```

---

(8)
# Pm5Nd2Sm

Pm5Nd2Sm after structural relaxation (PBE, Alexandria via LeMat-Bulk).

Properties
polymorph energy (0 for the lowest one) = 1.08 eV/f.u.
D(E_F) = 1.591 states/eV/atom

Cell and atoms, written as CIF:
```
data_Pm5Nd2Sm
_cell_length_a 16.693
_cell_length_b 10.182
_cell_length_c 6.633
_cell_angle_alpha 90.00
_cell_angle_beta 99.42
_cell_angle_gamma 90.00
_symmetry_space_group_name_H-M 'C 1 2/c 1'
_symmetry_Int_Tables_number 15
_symmetry_space_group_name_Hall '-C 2yc'
loop_
_atom_site_label
_atom_site_fract_x
_atom_site_fract_y
_atom_site_fract_z
Pm1 0.000 0.061 0.250
Pm2 0.097 0.410 0.150
Pm3 0.202 0.087 0.024
Nd1 0.080 0.256 0.628
Sm1 0.250 0.250 0.500
```

---

(9)
# PmNd5Sm8

PmNd5Sm8 after structural relaxation (PBE, Alexandria via LeMat-Bulk).

Properties
D(E_F) = 1.446 states/eV/atom
raw total energy = -126.30 eV for the cell shown

Cell and atoms, written as CIF:
```
data_PmNd5Sm8
_cell_length_a 9.720
_cell_length_b 9.720
_cell_length_c 10.373
_cell_angle_alpha 90.00
_cell_angle_beta 90.00
_cell_angle_gamma 90.00
_symmetry_space_group_name_H-M 'I -4'
_symmetry_Int_Tables_number 82
_symmetry_space_group_name_Hall 'I -4'
loop_
_atom_site_label
_atom_site_fract_x
_atom_site_fract_y
_atom_site_fract_z
Pm1 0.000 0.000 0.000
Nd1 0.000 0.500 0.750
Nd2 0.108 0.711 0.324
Sm1 0.072 0.824 0.648
Sm2 0.082 0.681 0.995
```

---

(10)
# Pm5Nd2Sm3

Pm5Nd2Sm3 after structural relaxation (PBE, Alexandria via LeMat-Bulk).

Properties
polymorph energy (0 for the lowest one) = 0.00 eV/f.u.
D(E_F) = 1.808 states/eV/atom

Cell and atoms, written as CIF:
```
data_Pm5Nd2Sm3
_cell_length_a 10.928
_cell_length_b 15.978
_cell_length_c 9.696
_cell_angle_alpha 90.00
_cell_angle_beta 124.23
_cell_angle_gamma 90.00
_symmetry_space_group_name_H-M 'C 1 2/c 1'
_symmetry_Int_Tables_number 15
_symmetry_space_group_name_Hall '-C 2yc'
loop_
_atom_site_label
_atom_site_fract_x
_atom_site_fract_y
_atom_site_fract_z
Pm1 0.000 0.028 0.250
Pm2 0.000 0.225 0.250
Pm3 0.000 0.270 0.750
Pm4 0.233 0.123 0.717
Nd1 0.141 0.374 0.549
Sm1 0.000 0.479 0.750
Sm2 0.158 0.123 0.047
```

---

(11)
# Pm3Nd2Sm3

Pm3Nd2Sm3 after structural relaxation (PBE, Alexandria via LeMat-Bulk).

Properties
polymorph energy (0 for the lowest one) = 0.00 eV/f.u.
D(E_F) = 1.761 states/eV/atom

Cell and atoms, written as CIF:
```
data_Pm3Nd2Sm3
_cell_length_a 5.900
_cell_length_b 14.752
_cell_length_c 6.380
_cell_angle_alpha 90.00
_cell_angle_beta 90.00
_cell_angle_gamma 90.00
_symmetry_space_group_name_H-M 'P m m n'
_symmetry_Int_Tables_number 59
loop_
_symmetry_equiv_pos_as_xyz
'x,y,z'
'-x,-y,-z'
'-x+1/2,-y+1/2,z'
'x+1/2,y+1/2,-z'
'x+1/2,-y,-z'
'-x+1/2,y,z'
'-x,y+1/2,-z'
'x,-y+1/2,z'
loop_
_atom_site_label
_atom_site_fract_x
_atom_site_fract_y
_atom_site_fract_z
Pm1 0.250 0.125 0.166
Pm2 0.250 0.750 0.668
Nd1 0.250 0.625 0.167
Sm1 0.250 0.000 0.666
Sm2 0.250 0.250 0.664
```

---

(12)
# Pm4NdSm8

Pm4NdSm8 after structural relaxation (PBE, Alexandria via LeMat-Bulk).

Properties
D(E_F) = 1.022 states/eV/atom
raw total energy = -177.87 eV for the cell shown

Cell and atoms, written as CIF:
```
data_Pm4NdSm8
_cell_length_a 7.4695
_cell_length_b 7.4695
_cell_length_c 27.8143
_cell_angle_alpha 90.00
_cell_angle_beta 90.00
_cell_angle_gamma 120.00
_symmetry_space_group_name_H-M 'R -3 m'
_symmetry_Int_Tables_number 166
_symmetry_space_group_name_Hall '-R 3 2"'
loop_
_atom_site_label
_atom_site_fract_x
_atom_site_fract_y
_atom_site_fract_z
Pm1 0.0000 0.0000 0.0000
Pm2 0.0000 0.5000 0.0000
Nd1 0.0000 0.0000 0.5000
Sm1 0.0000 0.0000 0.2176
Sm2 0.0378 0.5189 0.7687
```